{
  "formula": "MnPtS2Cl",
  "functional": "meta-GGA SCAN",
  "state": "single point on PBEsol structure",
  "lattice_angstrom": [[4.503, 0.000, 0.000], [0.000, 4.503, 0.000], [0.000, 0.000, 4.280]],
  "species": ["Mn", "Pt", "S", "S", "Cl"],
  "fractional_positions": [[0.000, 0.000, 0.000], [0.500, 0.500, 0.500], [0.000, 0.500, 0.000], [0.500, 0.000, 0.000], [0.000, 0.000, 0.500]],
  "raw_formation_energy_ev_per_atom": 0.409,
  "magmom_total_mub_per_fu": 2.7,
  "volume_a3_per_atom": 17.353
}


{
  "formula": "Sc2CoRe",
  "functional": "meta-GGA SCAN",
  "state": "single point on PBEsol structure",
  "lattice_angstrom": [[2.962, 0.000, 0.000], [-1.481, 2.565, 0.000], [0.000, 0.000, 24.993]],
  "species": ["Sc", "Sc", "Sc", "Sc", "Sc", "Sc", "Co", "Co", "Co", "Re", "Re", "Re"],
  "fractional_positions": [[0.000, 0.000, 0.244], [0.000, 0.000, 0.756], [0.333, 0.667, 0.423], [0.333, 0.667, 0.911], [0.667, 0.333, 0.089], [0.667, 0.333, 0.577], [0.000, 0.000, 0.500], [0.333, 0.667, 0.167], [0.667, 0.333, 0.833], [0.000, 0.000, 0.000], [0.333, 0.667, 0.667], [0.667, 0.333, 0.333]],
  "magmom_total_mub_per_fu": 0.5,
  "volume_a3_per_atom": 15.824,
  "energy_ev_per_atom": -28.981
}


{
  "formula": "BaP2",
  "functional": "meta-GGA SCAN",
  "state": "single point on PBEsol structure",
  "lattice_angstrom": [[4.526, 0.000, 0.000], [0.000, 4.526, 0.000], [0.000, 0.000, 14.221]],
  "species": ["Ba", "Ba", "Ba", "Ba", "P", "P", "P", "P", "P", "P", "P", "P"],
  "fractional_positions": [[0.000, 0.250, 0.375], [0.000, 0.750, 0.625], [0.500, 0.250, 0.125], [0.500, 0.750, 0.875], [0.000, 0.250, 0.796], [0.000, 0.250, 0.954], [0.000, 0.750, 0.046], [0.000, 0.750, 0.204], [0.500, 0.250, 0.546], [0.500, 0.250, 0.704], [0.500, 0.750, 0.296], [0.500, 0.750, 0.454]],
  "magmom_total_mub_per_fu": 0.0,
  "volume_a3_per_atom": 24.273,
  "energy_ev_per_atom": -20.842
}